Entry a
PmTeCl | GGA-PBE | relaxed

abc: 4.0531 4.6093 10.9642
angles: 89.74 89.86 90.00
Last column: nearest neighbours and their distance in Å.
Element x y z (fractional)
1 Te 0.5150 0.4474 0.0634  5 Pm 3.23-3.29
2 Te 0.0139 0.9449 0.2723  5 Pm 3.23-3.29
3 Cl 0.5170 0.9504 0.7991  2 Pm 2.77
4 Cl 0.0123 0.4422 0.5365  2 Pm 2.77
5 Pm 0.0157 0.9484 0.9718  2 Cl 2.77
6 Pm 0.5134 0.4439 0.3638  2 Cl 2.77

Computed properties:
**SG**: P-1
**Total magnetization**: 0.00 μB per cell
**Crystal system**: triclinic

=====

Entry b
PmTeCl | GGA-PBE | relaxed

abc: 4.5552 6.1482 8.8463
angles: 73.03 59.10 90.05
Last column: nearest neighbours and their distance in Å.
Element x y z (fractional)
1 Cl 0.1790 0.7881 0.5708  3 Pm 2.89-2.90
2 Cl 0.8210 0.2119 0.4292  3 Pm 2.89-2.90
3 Pm 0.5383 0.1562 0.2112  3 Cl 2.89-2.90, 4 Te 3.15-3.22
4 Pm 0.4617 0.8438 0.7888  3 Cl 2.89-2.90, 4 Te 3.15-3.22
5 Te 0.6559 0.7103 0.0952  4 Pm 3.15-3.22
6 Te 0.3441 0.2897 0.9048  4 Pm 3.15-3.22

Computed properties:
**SG**: P-1
**Total magnetization**: 0.00 μB per cell
**Crystal system**: triclinic

=====

Tell me which of them is the least stable. Sure, it is entry a.

=====

Entry a
Pm2TeCl | GGA-PBE | relaxed

abc: 4.7475 4.7475 8.6422
angles: 74.06 74.06 60.00
Last column: nearest neighbours and their distance in Å.
Element x y z (fractional)
1 Pm 0.8887 0.8887 0.3339  1 Cl 2.74, 3 Te 3.06
2 Pm 0.1113 0.1113 0.6661  1 Cl 2.74, 3 Te 3.06
3 Te 0.5000 0.5000 0.5000  6 Pm 3.06
4 Cl 0.0000 0.0000 0.0000  2 Pm 2.74

Computed properties:
**SG**: R-3m
**Total magnetization**: 0.00 μB per cell
**Crystal system**: trigonal

=====

Entry b
Pm2TeCl | GGA-PBE | relaxed

abc: 3.9866 3.9866 8.4531
angles: 76.36 76.36 60.00
Last column: nearest neighbours and their distance in Å.
Element x y z (fractional)
1 Te 0.6663 0.6663 0.0012  6 Pm 3.10-3.11
2 Pm 0.2480 0.2480 0.2560  3 Cl 3.03, 3 Te 3.10
3 Pm 0.0853 0.0853 0.7442  3 Cl 3.05, 3 Te 3.11
4 Cl 0.5005 0.5005 0.4986  6 Pm 3.03-3.05

Computed properties:
**SG**: R3m
**Total magnetization**: 0.00 μB per cell
**Crystal system**: trigonal

=====

Tell me which of them is the least stable. Sure, it is entry a.

=====

Entry a
Pm2TeCl | GGA-PBE | relaxed

abc: 3.7535 3.7535 7.3560
angles: 90.00 90.00 90.00
Last column: nearest neighbours and their distance in Å.
Element x y z (fractional)
1 Cl 0.5000 0.5000 0.5000  8 Pm 3.24
2 Pm 0.0000 0.0000 0.2467  4 Te 3.22, 4 Cl 3.24
3 Pm 0.0000 0.0000 0.7533  4 Te 3.22, 4 Cl 3.24
4 Te 0.5000 0.5000 0.0000  8 Pm 3.22

Computed properties:
**SG**: P4/mmm
**Total magnetization**: 0.00 μB per cell
**Crystal system**: tetragonal

=====

Entry b
Pm2TeCl | GGA-PBE | relaxed

abc: 5.2761 5.2761 5.2761
angles: 60.00 60.00 60.00
Last column: nearest neighbours and their distance in Å.
Element x y z (fractional)
1 Te 0.0000 0.0000 0.0000  8 Pm 3.23
2 Pm 0.7500 0.7500 0.7500  4 Te 3.23, 4 Cl 3.23
3 Pm 0.2500 0.2500 0.2500  4 Te 3.23, 4 Cl 3.23
4 Cl 0.5000 0.5000 0.5000  8 Pm 3.23

Computed properties:
**SG**: Fm-3m
**Total magnetization**: 0.00 μB per cell
**Crystal system**: cubic

=====

Tell me which of them is the least stable. Sure, it is entry a.

=====

Entry a
Pm2TlCl | GGA-PBE | relaxed

abc: 4.7752 4.7752 8.8605
angles: 74.37 74.37 60.00
Last column: nearest neighbours and their distance in Å.
Element x y z (fractional)
1 Pm 0.8918 0.8918 0.3247  1 Cl 2.73
2 Pm 0.1082 0.1082 0.6753  1 Cl 2.73
3 Tl 0.5000 0.5000 0.5000  6 Pm 3.13
4 Cl 0.0000 0.0000 0.0000  2 Pm 2.73

Computed properties:
**SG**: R-3m
**Total magnetization**: 0.00 μB per cell
**Crystal system**: trigonal

=====

Entry b
Pm2TlCl | GGA-PBE | relaxed

abc: 3.7022 3.7022 9.5177
angles: 78.79 78.79 60.00
Last column: nearest neighbours and their distance in Å.
Element x y z (fractional)
1 Tl 0.6665 0.6665 0.0004  6 Pm 3.29-3.30
2 Cl 0.5000 0.5000 0.5000  6 Pm 3.02
3 Pm 0.0901 0.0901 0.7296  3 Cl 3.02, 3 Tl 3.30
4 Pm 0.2433 0.2433 0.2701  3 Cl 3.02, 3 Tl 3.29

Computed properties:
**SG**: R3m
**Total magnetization**: 0.00 μB per cell
**Crystal system**: trigonal

=====

Entry c
Pm2TlCl | GGA-PBE | relaxed

abc: 3.5404 3.5404 8.3212
angles: 90.00 90.00 90.00
Last column: nearest neighbours and their distance in Å.
Element x y z (fractional)
1 Cl 0.5000 0.5000 0.0000  8 Pm 3.22, 4 Cl 3.54
2 Pm 0.0000 0.0000 0.2440  4 Cl 3.22, 4 Tl 3.29, 4 Pm 3.54
3 Pm 0.0000 0.0000 0.7560  4 Cl 3.22, 4 Tl 3.29, 4 Pm 3.54
4 Tl 0.5000 0.5000 0.5000  8 Pm 3.29, 4 Tl 3.54

Computed properties:
**SG**: P4/mmm
**Total magnetization**: 0.00 μB per cell
**Crystal system**: tetragonal

=====

Tell me which of them is the least stable. Sure, it is entry a.

=====

Entry a
PmTl2Cl5 | GGA-PBE | relaxed

abc: 7.8064 7.7545 8.2388
angles: 118.69 118.28 90.00
Last column: nearest neighbours and their distance in Å.
Element x y z (fractional)
1 Cl 0.7948 0.7838 0.0492  1 Pm 2.70
2 Cl 0.7723 0.8360 0.5445  1 Pm 2.59
3 Cl 0.2544 0.7838 0.0492  1 Pm 2.70
4 Cl 0.3017 0.2944 0.1392  1 Pm 2.68
5 Cl 0.8376 0.2944 0.1393  1 Pm 2.68
6 Pm 0.9815 0.9905 0.9630  5 Cl 2.59-2.70
7 Tl 0.6650 0.1167 0.3299  5 Cl 3.09-3.29
8 Tl 0.1698 0.6774 0.3396  4 Cl 3.08-3.20

Computed properties:
**SG**: Cm
**Total magnetization**: 0.00 μB per cell
**Crystal system**: monoclinic

=====

Entry b
PmTl2Cl5 | GGA-PBE | relaxed

abc: 8.2737 8.7904 13.1602
angles: 90.00 90.00 90.00
Last column: nearest neighbours and their distance in Å.
Element x y z (fractional)
1 Tl 0.0515 0.9962 0.3276  8 Cl 3.24-3.51
2 Tl 0.5515 0.0038 0.1724  8 Cl 3.24-3.51
3 Tl 0.4485 0.5038 0.8276  8 Cl 3.24-3.51
4 Tl 0.9485 0.0038 0.6724  8 Cl 3.24-3.51
5 Tl 0.0515 0.5038 0.3276  8 Cl 3.24-3.51
6 Tl 0.9485 0.4962 0.6724  8 Cl 3.24-3.51
7 Tl 0.4485 0.9962 0.8276  8 Cl 3.24-3.51
8 Tl 0.5515 0.4962 0.1724  8 Cl 3.24-3.51
9 Cl 0.8433 0.7500 0.1990  1 Pm 2.77
10 Cl 0.1567 0.2500 0.8010  1 Pm 2.77
11 Cl 0.5892 0.7500 0.9900  1 Pm 2.79
12 Cl 0.3433 0.2500 0.3010  1 Pm 2.77
13 Cl 0.6148 0.2500 0.6781  1 Pm 2.76
14 Cl 0.1614 0.9566 0.0726  2 Pm 2.82-2.85
15 Cl 0.8852 0.2500 0.1781  1 Pm 2.76
16 Cl 0.8386 0.4566 0.9274  2 Pm 2.82-2.85
17 Cl 0.6567 0.7500 0.6990  1 Pm 2.77
18 Cl 0.8386 0.0434 0.9274  2 Pm 2.82-2.85
19 Cl 0.4108 0.2500 0.0100  1 Pm 2.79
20 Cl 0.3386 0.9566 0.5726  2 Pm 2.82-2.85
21 Cl 0.0892 0.2500 0.5100  1 Pm 2.79
22 Cl 0.1148 0.7500 0.8219  1 Pm 2.76
23 Cl 0.6614 0.4566 0.4274  2 Pm 2.82-2.85
24 Cl 0.9108 0.7500 0.4900  1 Pm 2.79
25 Cl 0.3852 0.7500 0.3219  1 Pm 2.76
26 Cl 0.3386 0.5434 0.5726  2 Pm 2.82-2.85
27 Cl 0.1614 0.5434 0.0726  2 Pm 2.82-2.85
28 Cl 0.6614 0.0434 0.4274  2 Pm 2.82-2.85
29 Pm 0.5735 0.7500 0.4952  7 Cl 2.76-2.85
30 Pm 0.9265 0.7500 0.9952  7 Cl 2.76-2.85
31 Pm 0.4265 0.2500 0.5048  7 Cl 2.76-2.85
32 Pm 0.0735 0.2500 0.0048  7 Cl 2.76-2.85

Computed properties:
**SG**: Pnma
**Total magnetization**: 0.00 μB per cell
**Crystal system**: orthorhombic

=====

Tell me which of them is the least stable. Sure, it is entry a.

=====

Entry a
PmTlCl4 | GGA-PBE | relaxed

abc: 6.8332 7.4814 9.0792
angles: 104.25 112.11 90.00
Last column: nearest neighbours and their distance in Å.
Element x y z (fractional)
1 Cl 0.7344 0.3422 0.6111  2 Pm 2.77
2 Cl 0.2656 0.6578 0.3889  2 Pm 2.77
3 Cl 0.7027 0.4610 0.1965  1 Pm 2.68
4 Cl 0.2973 0.5390 0.8035  1 Pm 2.68
5 Cl 0.4939 0.9610 0.1965  1 Pm 2.68
6 Cl 0.1233 0.1578 0.3889  2 Pm 2.77
7 Cl 0.8767 0.8422 0.6111  2 Pm 2.77
8 Cl 0.5061 0.0390 0.8035  1 Pm 2.68
9 Pm 0.5000 0.0000 0.5000  6 Cl 2.68-2.77
10 Pm 0.0000 0.5000 0.5000  6 Cl 2.68-2.77
11 Tl 0.2615 0.2500 0.0000  4 Cl 3.05-3.19
12 Tl 0.7385 0.7500 0.0000  4 Cl 3.05-3.19

Computed properties:
**SG**: C2/c
**Total magnetization**: 0.00 μB per cell
**Crystal system**: monoclinic

=====

Entry b
PmTlCl4 | GGA-PBE | relaxed

abc: 4.2862 9.3286 11.6663
angles: 70.73 79.41 76.72
Last column: nearest neighbours and their distance in Å.
Element x y z (fractional)
1 Pm 0.0000 0.0000 0.5000  6 Cl 2.68-2.79
2 Pm 0.5000 0.5000 0.0000  6 Cl 2.68-2.79
3 Cl 0.5423 0.0779 0.3375  2 Pm 2.79
4 Cl 0.8424 0.2773 0.5379  1 Pm 2.68
5 Cl 0.0424 0.5779 0.8375  2 Pm 2.79
6 Cl 0.1576 0.7227 0.4621  1 Pm 2.68
7 Cl 0.9576 0.4221 0.1625  2 Pm 2.79
8 Cl 0.3424 0.7773 0.0379  1 Pm 2.68
9 Cl 0.6576 0.2227 0.9621  1 Pm 2.68
10 Cl 0.4577 0.9221 0.6625  2 Pm 2.79
11 Tl 0.7500 0.7500 0.2500  6 Cl 3.19-3.42
12 Tl 0.2500 0.2500 0.7500  6 Cl 3.19-3.42

Computed properties:
**SG**: C2/m
**Total magnetization**: 0.00 μB per cell
**Crystal system**: monoclinic

=====

Tell me which of them is the least stable. Sure, it is entry b.